# 1
Below is GdTlSiTe3 after structural relaxation, with properties calculated at the GGA-PBE level.

The structure in POSCAR format:
```
GdTlSiTe3
1.0
5.960 4.328 -2.403
-6.117 -0.249 4.748
6.735 -4.591 8.436
Tl Si Gd Te
2 2 2 6
Direct
0.750 0.250 0.250
0.250 0.750 0.750
0.470 0.530 0.250
0.530 0.470 0.750
0.000 0.000 0.000
0.000 0.000 0.500
0.364 0.636 0.442
0.364 0.636 0.058
0.927 0.073 0.750
0.636 0.364 0.942
0.073 0.927 0.250
0.636 0.364 0.558
```

Values from the calculation:
crystal system	orthorhombic
space-group type	Cmcm
energy	-49.9	eV for the cell shown

# 2
Below is Tm2LuGe4Pd4 after structural relaxation, with properties calculated at the GGA-PBE level.

The structure in POSCAR format:
```
Tm2LuGe4Pd4
1.0
-2.068 3.549 6.940
2.068 -3.549 6.940
2.068 3.549 -6.940
Pd Tm Ge Lu
4 2 4 1
Direct
0.973 0.674 0.299
0.624 0.326 0.299
0.376 0.674 0.701
0.027 0.326 0.701
0.375 0.875 0.500
0.625 0.125 0.500
0.218 0.218 0.000
0.782 0.782 0.000
0.688 0.500 0.188
0.312 0.500 0.812
0.000 0.000 0.000
```

Values from the calculation:
crystal system	orthorhombic
space-group type	Immm
energy	-62.4	eV for the cell shown

# 3
Below is Be2Co after structural relaxation, with properties calculated at the GGA-PBE level.

The structure in POSCAR format:
```
Be2Co
1.0
-3.312 4.459 -0.488
-2.758 -2.503 -4.149
-1.416 -0.890 1.478
Co Be
2 4
Direct
0.500 0.500 0.500
0.000 0.000 0.000
0.262 0.262 0.000
0.238 0.762 0.500
0.738 0.738 0.000
0.762 0.238 0.500
```

Values from the calculation:
crystal system	tetragonal
space-group type	P4_2/mnm
energy	-27.1	eV for the cell shown

# 4
Below is Dy2YTm2Lu2Ni2Te2 after structural relaxation, with properties calculated at the GGA-PBE level.

The structure in POSCAR format:
```
Dy2YTm2Lu2Ni2Te2
1.0
-1.912 7.731 4.742
1.912 -7.731 4.742
1.912 7.731 -4.742
Ni Tm Lu Te Dy Y
2 2 2 2 2 1
Direct
0.168 0.405 0.762
0.643 0.405 0.238
0.394 0.746 0.647
0.099 0.746 0.353
0.782 0.097 0.685
0.411 0.097 0.315
0.741 0.241 0.500
0.142 0.142 0.000
0.763 0.895 0.868
0.027 0.895 0.132
0.477 0.477 0.000
```

Values from the calculation:
crystal system	orthorhombic
excess energy over the best structure of this formula in the dataset	2	meV/atom
space-group type	Imm2

# 5
Below is Y2HoIn3AgIr2 after structural relaxation, with properties calculated at the GGA-PBE level.

The structure in POSCAR format:
```
Y2HoIn3AgIr2
1.0
3.831 0.000 0.000
0.000 6.665 3.879
0.000 -6.665 3.879
Ir Ag Ho In Y
2 1 1 3 2
Direct
0.500 0.663 0.334
0.500 0.334 0.663
0.000 0.001 0.001
0.000 0.413 0.413
0.500 0.732 0.732
0.500 0.269 0.000
0.500 0.000 0.269
0.000 0.000 0.589
0.000 0.589 0.000
```

Values from the calculation:
crystal system	orthorhombic
space-group type	Amm2
energy	-51.8	eV for the cell shown

# 6
Below is PmEr after structural relaxation, with properties calculated at the GGA-PBE level.

The structure in POSCAR format:
```
PmEr
1.0
-3.292 -3.643 -0.524
-4.362 0.264 2.299
-4.124 0.755 -2.608
Er Pm
1 1
Direct
0.000 0.000 0.000
0.250 0.250 0.250
```

Values from the calculation:
energy of formation from the pure elements	1.786	eV/atom
crystal system	cubic
excess energy over the best structure of this formula in the dataset	1758	meV/atom
space-group type	F-43m

# 7
Below is LiZnCoBi after structural relaxation, with properties calculated at the GGA-PBE level.

The structure in POSCAR format:
```
LiZnCoBi
1.0
-2.854 -3.048 1.860
-4.495 0.828 0.077
-2.816 -2.419 -2.668
Co Li Bi Zn
1 1 1 1
Direct
0.500 0.500 0.500
0.750 0.750 0.750
0.000 0.000 0.000
0.250 0.250 0.250
```

Values from the calculation:
crystal system	cubic
excess energy over the best structure of this formula in the dataset	295	meV/atom
space-group type	F-43m

# 8
Below is GdInSiPt2 after structural relaxation, with properties calculated at the GGA-PBE level.

The structure in POSCAR format:
```
GdInSiPt2
1.0
4.250 0.000 0.000
0.000 4.250 0.000
0.000 0.000 10.852
In Pt Gd Si
2 4 2 2
Direct
0.000 0.000 0.500
0.500 0.500 0.500
0.000 0.000 0.000
0.000 0.500 0.669
0.500 0.000 0.331
0.500 0.500 0.000
0.500 0.000 0.766
0.000 0.500 0.234
0.500 0.000 0.117
0.000 0.500 0.883
```

Values from the calculation:
crystal system	tetragonal
space-group type	P4/nmm
energy	-59.5	eV for the cell shown